Entry 1:
Computed, not measured: crystalline SbIrNO at its relaxed geometry at the GGA-PBE level of DFT.

## Properties
- Calculated volume: 117.3 Å³/cell
- Crystal system: orthorhombic
- DFT total energy: -50.237 eV/cell

Cell lengths 3.2306, 6.0552, 5.9953 Å; angles 90.00, 90.00, 90.00 degrees
Sites, in units of the cell vectors:
Sb  0.0000  0.1863  0.0000
Sb  0.0000  0.8137  0.5000
Ir  0.5000  0.4250  0.4848
Ir  0.5000  0.5750  0.9848
N  0.5000  0.2831  0.7796
N  0.5000  0.7169  0.2796
O  0.0000  0.2316  0.4073
O  0.0000  0.7684  0.9073

Entry 2:
Computed, not measured: crystalline SbIrNO at its relaxed geometry at the GGA-PBE level of DFT.

## Properties
- Calculated volume: 113.1 Å³/cell
- Crystal system: orthorhombic
- DFT total energy: -50.206 eV/cell

Cell lengths 2.9082, 6.8520, 5.6739 Å; angles 90.00, 90.00, 90.00 degrees
Sites, in units of the cell vectors:
Sb  0.0000  0.1648  0.0000
Sb  0.0000  0.8352  0.5000
Ir  0.5000  0.2924  0.6024
Ir  0.5000  0.7076  0.1024
N  0.0000  0.1641  0.4119
N  0.0000  0.8359  0.9119
O  0.5000  0.4259  0.9447
O  0.5000  0.5741  0.4447

Entry 3:
Computed, not measured: crystalline SbIrNO at its relaxed geometry at the GGA-PBE level of DFT.

## Properties
- Calculated volume: 222.2 Å³/cell
- Crystal system: orthorhombic
- DFT total energy: -106.204 eV/cell

Cell lengths 5.4740, 8.0199, 5.0617 Å; angles 90.00, 90.00, 90.00 degrees
Sites, in units of the cell vectors:
Sb  0.0653  0.1691  0.0000
Sb  0.4347  0.1691  0.5000
Sb  0.5653  0.8309  0.0000
Sb  0.9347  0.8309  0.5000
Ir  0.0456  0.5538  0.1383
Ir  0.4544  0.5538  0.6383
Ir  0.5456  0.4462  0.1383
Ir  0.9544  0.4462  0.6383
N  0.1335  0.6514  0.7798
N  0.3665  0.6514  0.2798
N  0.6335  0.3486  0.7798
N  0.8665  0.3486  0.2798
O  0.1451  0.0128  0.3289
O  0.3549  0.0128  0.8289
O  0.6451  0.9872  0.3289
O  0.8549  0.9872  0.8289

Entry 4:
Computed, not measured: crystalline SmIrNO at its relaxed geometry at the GGA-PBE level of DFT.

## Properties
- Calculated volume: 54.7 Å³/cell
- Crystal system: tetragonal
- DFT total energy: -29.402 eV/cell

Cell lengths 3.5427, 3.5427, 4.3601 Å; angles 90.00, 90.00, 90.00 degrees
Sites, in units of the cell vectors:
Sm  0.0000  0.0000  0.0000
Ir  0.5000  0.5000  0.5000
N  0.5000  0.5000  0.0000
O  0.0000  0.0000  0.5000

Entry 5:
Computed, not measured: crystalline SmIrNO at its relaxed geometry at the GGA-PBE level of DFT.

## Properties
- Calculated volume: 118.1 Å³/cell
- Crystal system: tetragonal
- DFT total energy: -62.978 eV/cell

Cell lengths 3.9840, 3.9840, 7.4386 Å; angles 90.00, 90.00, 90.00 degrees
Sites, in units of the cell vectors:
Sm  0.2500  0.2500  0.1532
Sm  0.7500  0.7500  0.8468
Ir  0.2500  0.7500  0.5000
Ir  0.7500  0.2500  0.5000
N  0.2500  0.2500  0.5978
N  0.7500  0.7500  0.4022
O  0.2500  0.7500  0.0000
O  0.7500  0.2500  0.0000

Entry 6:
Computed, not measured: crystalline SmIrNO at its relaxed geometry at the GGA-PBE level of DFT.

## Properties
- Calculated volume: 133.9 Å³/cell
- Crystal system: orthorhombic
- DFT total energy: -61.801 eV/cell

Cell lengths 4.2811, 6.5589, 4.7679 Å; angles 90.00, 90.00, 90.00 degrees
Sites, in units of the cell vectors:
Sm  0.0000  0.2041  0.0000
Sm  0.0000  0.7959  0.5000
Ir  0.5000  0.4151  0.4869
Ir  0.5000  0.5849  0.9869
N  0.5000  0.3102  0.8610
N  0.5000  0.6898  0.3610
O  0.0000  0.1348  0.4732
O  0.0000  0.8652  0.9732

Entry 7:
Computed, not measured: crystalline SmIrNO at its relaxed geometry at the GGA-PBE level of DFT.

## Properties
- Calculated volume: 237.5 Å³/cell
- Crystal system: orthorhombic
- DFT total energy: -130.691 eV/cell

Cell lengths 5.5631, 8.0494, 5.3042 Å; angles 90.00, 90.00, 90.00 degrees
Sites, in units of the cell vectors:
Sm  0.0208  0.1481  0.0000
Sm  0.4792  0.1481  0.5000
Sm  0.5208  0.8519  0.0000
Sm  0.9792  0.8519  0.5000
Ir  0.0822  0.4750  0.6773
Ir  0.4178  0.4750  0.1773
Ir  0.5822  0.5250  0.6773
Ir  0.9178  0.5250  0.1773
N  0.1326  0.3541  0.3450
N  0.3674  0.3541  0.8450
N  0.6326  0.6459  0.3450
N  0.8674  0.6459  0.8450
O  0.2500  0.9820  0.2471
O  0.2500  0.9820  0.7471
O  0.7500  0.0180  0.2471
O  0.7500  0.0180  0.7471

Entry 8:
Computed, not measured: crystalline SmIrNO at its relaxed geometry at the GGA-PBE level of DFT.

## Properties
- Calculated volume: 108.2 Å³/cell
- Crystal system: orthorhombic
- DFT total energy: -63.058 eV/cell

Cell lengths 3.7272, 5.5401, 5.2378 Å; angles 90.00, 90.00, 90.00 degrees
Sites, in units of the cell vectors:
Sm  0.0000  0.1921  0.0000
Sm  0.0000  0.8079  0.5000
Ir  0.5000  0.3654  0.4970
Ir  0.5000  0.6346  0.9970
N  0.0000  0.3458  0.4944
N  0.0000  0.6542  0.9944
O  0.5000  0.0101  0.7487
O  0.5000  0.9899  0.2487

Entry 9:
Computed, not measured: crystalline SnIrNO at its relaxed geometry at the GGA-PBE level of DFT.

## Properties
- Calculated volume: 128.1 Å³/cell
- Crystal system: tetragonal
- DFT total energy: -52.654 eV/cell

Cell lengths 3.7379, 3.7379, 9.1694 Å; angles 90.00, 90.00, 90.00 degrees
Sites, in units of the cell vectors:
Sn  0.2500  0.2500  0.1310
Sn  0.7500  0.7500  0.8690
Ir  0.2500  0.7500  0.5000
Ir  0.7500  0.2500  0.5000
N  0.2500  0.2500  0.6075
N  0.7500  0.7500  0.3925
O  0.2500  0.7500  0.0000
O  0.7500  0.2500  0.0000

Entry 10:
Computed, not measured: crystalline SnIrNO at its relaxed geometry at the GGA-PBE level of DFT.

## Properties
- Calculated volume: 114.9 Å³/cell
- Crystal system: orthorhombic
- DFT total energy: -51.688 eV/cell

Cell lengths 3.0332, 7.7370, 4.8965 Å; angles 90.00, 90.00, 90.00 degrees
Sites, in units of the cell vectors:
Sn  0.0000  0.1412  0.0000
Sn  0.0000  0.8588  0.5000
Ir  0.5000  0.4298  0.4943
Ir  0.5000  0.5702  0.9943
N  0.5000  0.3291  0.8778
N  0.5000  0.6709  0.3778
O  0.0000  0.2522  0.4090
O  0.0000  0.7478  0.9090

Entry 11:
Computed, not measured: crystalline SnIrNO at its relaxed geometry at the GGA-PBE level of DFT.

## Properties
- Calculated volume: 115.5 Å³/cell
- Crystal system: orthorhombic
- DFT total energy: -51.279 eV/cell

Cell lengths 3.1681, 6.3947, 5.7032 Å; angles 90.00, 90.00, 90.00 degrees
Sites, in units of the cell vectors:
Sn  0.0000  0.2369  0.0000
Sn  0.0000  0.7631  0.5000
Ir  0.5000  0.2346  0.5706
Ir  0.5000  0.7654  0.0706
N  0.0000  0.1652  0.4027
N  0.0000  0.8348  0.9027
O  0.5000  0.4443  0.1015
O  0.5000  0.5557  0.6015

Entry 12:
Computed, not measured: crystalline SnIrNO at its relaxed geometry at the GGA-PBE level of DFT.

## Properties
- Calculated volume: 213.0 Å³/cell
- Crystal system: orthorhombic
- DFT total energy: -108.491 eV/cell

Cell lengths 5.4351, 7.7538, 5.0534 Å; angles 90.00, 90.00, 90.00 degrees
Sites, in units of the cell vectors:
Sn  0.0305  0.1654  0.0000
Sn  0.4695  0.1654  0.5000
Sn  0.5305  0.8346  0.0000
Sn  0.9695  0.8346  0.5000
Ir  0.0496  0.5550  0.2008
Ir  0.4504  0.5550  0.7008
Ir  0.5496  0.4450  0.2008
Ir  0.9504  0.4450  0.7008
N  0.1199  0.6617  0.8399
N  0.3801  0.6617  0.3399
N  0.6199  0.3383  0.8399
N  0.8801  0.3383  0.3399
O  0.1730  0.0319  0.6656
O  0.3270  0.0319  0.1656
O  0.6730  0.9681  0.6656
O  0.8270  0.9681  0.1656

Question: What is the calculated volume in the sixth record?
Answer: 133.9 Å³/cell